Record 1
Entry from Alexandria: a relaxed Sc2SiSb crystal (GGA-PBE).

For the density, the calculation gives 4.7 g cm⁻³. The total magnetization is 0.00 μB per cell. Its density of states at the Fermi level is 6.05 states/eV per cell. Its uncorrected energy is -6.124 eV/atom.

Structure (CIF):
```
data_Sc2SiSb
_cell_length_a 4.147
_cell_length_b 5.205
_cell_length_c 7.822
_cell_angle_alpha 90.00
_cell_angle_beta 90.00
_cell_angle_gamma 90.00
_space_group_name_H-M_alt 'C m m m'
_space_group_IT_number 65
_space_group_name_Hall '-C 2 2'
loop_
_atom_site_label
_atom_site_fract_x
_atom_site_fract_y
_atom_site_fract_z
_atom_site_occupancy
Sc1 0.000 0.000 0.226 1
Si1 0.000 0.500 0.000 1
Sb1 0.000 0.500 0.500 1
```

Record 2
Entry from Alexandria: a relaxed ScSiSb2 crystal (GGA-PBE).

For the density, the calculation gives 5.8 g cm⁻³. The total magnetization is 0.00 μB per cell. Its density of states at the Fermi level is 1.85 states/eV per cell. Its uncorrected energy is -5.158 eV/atom.

Structure (CIF):
```
data_ScSiSb2
_cell_length_a 3.926
_cell_length_b 3.926
_cell_length_c 5.862
_cell_angle_alpha 90.00
_cell_angle_beta 90.00
_cell_angle_gamma 90.00
_space_group_name_H-M_alt 'P 4/m m m'
_space_group_IT_number 123
_space_group_name_Hall '-P 4 2'
loop_
_atom_site_label
_atom_site_fract_x
_atom_site_fract_y
_atom_site_fract_z
_atom_site_occupancy
Sc1 0.000 0.000 0.000 1
Si1 0.000 0.000 0.500 1
Sb1 0.500 0.500 0.252 1
```

Record 3
Entry from Alexandria: a relaxed ScSiSb2 crystal (GGA-PBE).

For the density, the calculation gives 5.4 g cm⁻³. The total magnetization is 0.00 μB per cell. Its density of states at the Fermi level is 1.60 states/eV per cell. Its uncorrected energy is -5.254 eV/atom.

Structure (CIF):
```
data_ScSiSb2
_cell_length_a 3.990
_cell_length_b 3.990
_cell_length_c 6.090
_cell_angle_alpha 90.00
_cell_angle_beta 90.00
_cell_angle_gamma 90.00
_space_group_name_H-M_alt 'P 4 m m'
_space_group_IT_number 99
_space_group_name_Hall 'P 4 -2'
loop_
_atom_site_label
_atom_site_fract_x
_atom_site_fract_y
_atom_site_fract_z
_atom_site_occupancy
Sc1 0.000 0.000 0.000 1
Si1 0.500 0.500 0.350 1
Sb1 0.000 0.000 0.483 1
Sb2 0.500 0.500 0.909 1
```

Record 4
Entry from Alexandria: a relaxed ScSiSb2 crystal (GGA-PBE).

For the density, the calculation gives 5.8 g cm⁻³. The total magnetization is 0.00 μB per cell. Its density of states at the Fermi level is 3.92 states/eV per cell. Its uncorrected energy is -5.361 eV/atom.

Structure (CIF):
```
data_ScSiSb2
_cell_length_a 4.082
_cell_length_b 4.019
_cell_length_c 11.026
_cell_angle_alpha 90.00
_cell_angle_beta 90.00
_cell_angle_gamma 90.00
_space_group_name_H-M_alt 'A m m 2'
_space_group_IT_number 38
_space_group_name_Hall 'A 2 -2'
loop_
_atom_site_label
_atom_site_fract_x
_atom_site_fract_y
_atom_site_fract_z
_atom_site_occupancy
Sc1 0.000 0.000 0.000 1
Si1 0.500 0.000 0.822 1
Sb1 0.000 0.000 0.287 1
Sb2 0.500 0.000 0.583 1
```

Record 5
Entry from Alexandria: a relaxed Sc2SiSb crystal (GGA-PBE).

For the density, the calculation gives 4.7 g cm⁻³. The total magnetization is 0.00 μB per cell. Its density of states at the Fermi level is 18.12 states/eV per cell. Its uncorrected energy is -5.599 eV/atom.

Structure (CIF):
```
data_Sc2SiSb
_cell_length_a 6.956
_cell_length_b 6.956
_cell_length_c 6.956
_cell_angle_alpha 90.00
_cell_angle_beta 90.00
_cell_angle_gamma 90.00
_space_group_name_H-M_alt 'F -4 3 m'
_space_group_IT_number 216
_space_group_name_Hall 'F -4 2 3'
loop_
_atom_site_label
_atom_site_fract_x
_atom_site_fract_y
_atom_site_fract_z
_atom_site_occupancy
Sc1 0.000 0.000 0.000 1
Sc2 0.250 0.250 0.250 1
Si1 0.000 0.000 0.500 1
Sb1 0.250 0.250 0.750 1
```

Record 6
Entry from Alexandria: a relaxed ScSi2Sb crystal (GGA-PBE).

For the density, the calculation gives 4.8 g cm⁻³. The total magnetization is 0.00 μB per cell. Its density of states at the Fermi level is 2.95 states/eV per cell. Its uncorrected energy is -5.423 eV/atom.

Structure (CIF):
```
data_ScSi2Sb
_cell_length_a 3.675
_cell_length_b 3.675
_cell_length_c 5.730
_cell_angle_alpha 90.00
_cell_angle_beta 90.00
_cell_angle_gamma 90.00
_space_group_name_H-M_alt 'P 4 m m'
_space_group_IT_number 99
_space_group_name_Hall 'P 4 -2'
loop_
_atom_site_label
_atom_site_fract_x
_atom_site_fract_y
_atom_site_fract_z
_atom_site_occupancy
Sc1 0.000 0.000 0.000 1
Si1 0.000 0.000 0.467 1
Si2 0.500 0.500 0.259 1
Sb1 0.500 0.500 0.734 1
```

Record 7
Entry from Alexandria: a relaxed Sc2SiSb crystal (GGA-PBE).

For the density, the calculation gives 4.7 g cm⁻³. The total magnetization is 0.00 μB per cell. Its density of states at the Fermi level is 3.09 states/eV per cell. Its uncorrected energy is -6.246 eV/atom.

Structure (CIF):
```
data_Sc2SiSb
_cell_length_a 10.462
_cell_length_b 4.037
_cell_length_c 3.973
_cell_angle_alpha 90.00
_cell_angle_beta 91.51
_cell_angle_gamma 90.00
_space_group_name_H-M_alt 'C 1 m 1'
_space_group_IT_number 8
_space_group_name_Hall 'C -2y'
loop_
_atom_site_label
_atom_site_fract_x
_atom_site_fract_y
_atom_site_fract_z
_atom_site_occupancy
Sc1 0.000 0.000 0.000 1
Sc2 0.233 0.500 0.500 1
Si1 0.258 0.000 0.002 1
Sb1 0.455 0.000 0.497 1
```

Record 8
Entry from Alexandria: a relaxed ScSiSb2 crystal (GGA-PBE).

For the density, the calculation gives 5.6 g cm⁻³. The total magnetization is 0.00 μB per cell. Its density of states at the Fermi level is 13.63 states/eV per cell. Its uncorrected energy is -4.857 eV/atom.

Structure (CIF):
```
data_ScSiSb2
_cell_length_a 7.214
_cell_length_b 7.214
_cell_length_c 7.214
_cell_angle_alpha 90.00
_cell_angle_beta 90.00
_cell_angle_gamma 90.00
_space_group_name_H-M_alt 'F -4 3 m'
_space_group_IT_number 216
_space_group_name_Hall 'F -4 2 3'
loop_
_atom_site_label
_atom_site_fract_x
_atom_site_fract_y
_atom_site_fract_z
_atom_site_occupancy
Sc1 0.000 0.000 0.000 1
Si1 0.250 0.250 0.250 1
Sb1 0.000 0.000 0.500 1
Sb2 0.250 0.250 0.750 1
```

Record 9
Entry from Alexandria: a relaxed Sc4SiSb crystal (GGA-PBE).

For the density, the calculation gives 4.1 g cm⁻³. The total magnetization is 2.84 μB per cell. Its density of states at the Fermi level is 30.08 states/eV per cell. Its uncorrected energy is -5.734 eV/atom.

Structure (CIF):
```
data_Sc4SiSb
_cell_length_a 8.095
_cell_length_b 8.095
_cell_length_c 8.095
_cell_angle_alpha 90.00
_cell_angle_beta 90.00
_cell_angle_gamma 90.00
_space_group_name_H-M_alt 'F -4 3 m'
_space_group_IT_number 216
_space_group_name_Hall 'F -4 2 3'
loop_
_atom_site_label
_atom_site_fract_x
_atom_site_fract_y
_atom_site_fract_z
_atom_site_occupancy
Sc1 0.125 0.125 0.125 1
Si1 0.250 0.250 0.750 1
Sb1 0.000 0.000 0.500 1
```

Record 10
Entry from Alexandria: a relaxed ScSiSb crystal (GGA-PBE).

For the density, the calculation gives 5.1 g cm⁻³. The total magnetization is 0.00 μB per cell. Its density of states at the Fermi level is 1.75 states/eV per cell. Its uncorrected energy is -5.327 eV/atom.

Structure (CIF):
```
data_ScSiSb
_cell_length_a 3.2909
_cell_length_b 3.2909
_cell_length_c 6.8079
_cell_angle_alpha 90.00
_cell_angle_beta 90.00
_cell_angle_gamma 120.00
_space_group_name_H-M_alt 'P 3 m 1'
_space_group_IT_number 156
_space_group_name_Hall 'P 3 -2"'
loop_
_atom_site_label
_atom_site_fract_x
_atom_site_fract_y
_atom_site_fract_z
_atom_site_occupancy
Sc1 0.0000 0.0000 0.0000 1
Si1 0.6667 0.3333 0.3031 1
Sb1 0.3333 0.6667 0.6455 1
```

Record 11
Entry from Alexandria: a relaxed Sc2SiSb crystal (GGA-PBE).

For the density, the calculation gives 4.8 g cm⁻³. The total magnetization is 0.00 μB per cell. Its density of states at the Fermi level is 3.60 states/eV per cell. Its uncorrected energy is -6.086 eV/atom.

Structure (CIF):
```
data_Sc2SiSb
_cell_length_a 3.216
_cell_length_b 3.216
_cell_length_c 7.993
_cell_angle_alpha 90.00
_cell_angle_beta 90.00
_cell_angle_gamma 90.00
_space_group_name_H-M_alt 'P 4/m m m'
_space_group_IT_number 123
_space_group_name_Hall '-P 4 2'
loop_
_atom_site_label
_atom_site_fract_x
_atom_site_fract_y
_atom_site_fract_z
_atom_site_occupancy
Sc1 0.000 0.000 0.218 1
Si1 0.500 0.500 0.000 1
Sb1 0.500 0.500 0.500 1
```

Record 12
Entry from Alexandria: a relaxed Sc2SiSb crystal (GGA-PBE).

For the density, the calculation gives 4.3 g cm⁻³. The total magnetization is 0.00 μB per cell. Its density of states at the Fermi level is 3.78 states/eV per cell. Its uncorrected energy is -6.148 eV/atom.

Structure (CIF):
```
data_Sc2SiSb
_cell_length_a 4.034
_cell_length_b 4.034
_cell_length_c 5.677
_cell_angle_alpha 90.00
_cell_angle_beta 90.00
_cell_angle_gamma 90.00
_space_group_name_H-M_alt 'P 4/m m m'
_space_group_IT_number 123
_space_group_name_Hall '-P 4 2'
loop_
_atom_site_label
_atom_site_fract_x
_atom_site_fract_y
_atom_site_fract_z
_atom_site_occupancy
Sc1 0.000 0.000 0.000 1
Sc2 0.500 0.500 0.500 1
Si1 0.000 0.000 0.500 1
Sb1 0.500 0.500 0.000 1
```

> Look up the uncorrected energy of the seventh one.

-6.246 eV/atom